A plane-wave DFT calculation with PBE-GGA was carried out for a geometry-optimized CuNi3Pt structure.

Properties
Polymorph energy (0 for the lowest one) ... 0 meV/atom
Total moment ... 2.0 μB/f.u.
DOS at the Fermi energy ... 1.538 states/eV per atom
Symmetry ... No. 2

Unit cell a=4.674 b=4.674 c=6.462 alpha=75.10 beta=75.37 gamma=65.85
Fractional positions:
Cu 0.052 0.052 0.289
Cu 0.948 0.948 0.711
Ni 0.000 0.500 0.500
Ni 0.097 0.600 0.105
Ni 0.401 0.902 0.895
Ni 0.500 0.000 0.500
Ni 0.599 0.098 0.105
Ni 0.903 0.400 0.895
Pt 0.445 0.446 0.717
Pt 0.555 0.554 0.283